Entry 1:
A plane-wave DFT calculation with PBE was carried out for a relaxed Cd2AsIr crystal.

a b c (Å): 3.005 4.676 11.923
angles (deg): 90.00 90.00 90.00
Space group Imm2 (No. 44)
Asymmetric unit:
Cd (0.000, 0.000, 0.000) x2
Cd (0.000, 0.500, 0.177) x2
As (0.000, 0.000, 0.372) x2
Ir (0.000, 0.500, 0.709) x2

Total energy (eV/atom): -3.85
Formation energy (kcal/mol of atoms): -0.3
N(E_F) (states/eV/atom): 0.575

Entry 2:
A plane-wave DFT calculation with PBE was carried out for a relaxed BeSi2 crystal.

a b c (Å): 3.499 3.499 3.426
angles (deg): 90.00 90.00 90.00
Space group P4/mmm (No. 123)
Asymmetric unit:
Be (0.000, 0.000, 0.000) x1
Si (0.000, 0.500, 0.500) x2

Total energy (eV/atom): -4.49
N(E_F) (states/eV/atom): 0.232
Energy above the lowest structure with this stoichiometry (meV/atom): 108

Entry 3:
A plane-wave DFT calculation with PBE was carried out for a relaxed MgTlNi2 crystal.

a b c (Å): 4.195 4.195 3.494
angles (deg): 90.00 90.00 90.00
Space group P4/mmm (No. 123)
Asymmetric unit:
Mg (0.000, 0.000, 0.000) x1
Tl (0.500, 0.500, 0.000) x1
Ni (0.000, 0.500, 0.500) x2

Total energy (eV/atom): -3.85
Formation energy (kcal/mol of atoms): 0.8
N(E_F) (states/eV/atom): 0.726

Entry 4:
A plane-wave DFT calculation with PBE was carried out for a relaxed MgBi crystal.

a b c (Å): 11.551 3.478 5.530
angles (deg): 90.00 99.44 90.00
Space group C2/m (No. 12)
Asymmetric unit:
Mg (0.118, 0.000, 0.298) x4
Bi (0.123, 0.500, 0.787) x4

Total energy (eV/atom): -2.84
Formation energy (kcal/mol of atoms): -2.4
N(E_F) (states/eV/atom): 0.489

Entry 5:
A plane-wave DFT calculation with PBE was carried out for a relaxed CdTePd2 crystal.

a b c (Å): 4.568 4.568 3.609
angles (deg): 90.00 90.00 90.00
Space group P4/mmm (No. 123)
Asymmetric unit:
Cd (0.000, 0.000, 0.000) x1
Te (0.500, 0.500, 0.000) x1
Pd (0.000, 0.500, 0.500) x2

Total energy (eV/atom): -3.89
N(E_F) (states/eV/atom): 0.383
Energy above the lowest structure with this stoichiometry (meV/atom): 39

Entry 6:
A plane-wave DFT calculation with PBE was carried out for a relaxed Ti2OsPbW crystal.

a b c (Å): 4.654 4.654 5.181
angles (deg): 90.00 90.00 90.00
Space group P4/mmm (No. 123)
Asymmetric unit:
Ti (0.000, 0.500, 0.000) x2
Os (0.000, 0.000, 0.500) x1
Pb (0.500, 0.500, 0.500) x1
W (0.500, 0.500, 0.000) x1

Total energy (eV/atom): -7.10
Formation energy (kcal/mol of atoms): 37.7
N(E_F) (states/eV/atom): 1.168
Energy above the lowest structure with this stoichiometry (meV/atom): 893

Entry 7:
A plane-wave DFT calculation with PBE was carried out for a relaxed Rb3BaPu2O9 crystal.

a b c (Å): 6.3176 6.3176 7.9306
angles (deg): 90.00 90.00 120.00
Space group P-3m1 (No. 164)
Asymmetric unit:
Rb (0.0000, 0.0000, 0.0000) x1
Rb (0.3333, 0.6667, 0.6723) x2
Ba (0.0000, 0.0000, 0.5000) x1
Pu (0.3333, 0.6667, 0.1481) x2
O (0.0000, 0.5000, 0.0000) x3
O (0.1870, 0.3739, 0.2933) x6

Total energy (eV/atom): -7.55
N(E_F) (states/eV/atom): 0.452

Entry 8:
A plane-wave DFT calculation with PBE was carried out for a relaxed Ba2CoTc2 crystal.

a b c (Å): 9.481 9.481 3.165
angles (deg): 90.00 90.00 90.00
Space group P4/mbm (No. 127)
Asymmetric unit:
Ba (0.204, 0.296, 0.000) x4
Co (0.000, 0.000, 0.000) x2
Tc (0.080, 0.580, 0.500) x4

Total energy (eV/atom): -5.02
Formation energy (kcal/mol of atoms): 30.4
N(E_F) (states/eV/atom): 1.014
Energy above the lowest structure with this stoichiometry (meV/atom): 531

Entry 9:
A plane-wave DFT calculation with PBE was carried out for a relaxed RbFe2Tc crystal.

a b c (Å): 7.108 7.108 6.709
angles (deg): 90.00 90.00 90.00
Space group I-42d (No. 122)
Asymmetric unit:
Rb (0.000, 0.000, 0.000) x4
Fe (0.157, 0.250, 0.625) x8
Tc (0.000, 0.000, 0.500) x4

Total energy (eV/atom): -5.44
Formation energy (kcal/mol of atoms): 37.4
N(E_F) (states/eV/atom): 0.855
Energy above the lowest structure with this stoichiometry (meV/atom): 0

Entry 10:
A plane-wave DFT calculation with PBE was carried out for a relaxed Tb4Y2In crystal.

a b c (Å): 3.6294 3.6294 57.9606
angles (deg): 90.00 90.00 120.00
Space group R-3m (No. 166, hexagonal axes)
Asymmetric unit:
Tb (0.0000, 0.0000, 0.0929) x6
Tb (0.0000, 0.0000, 0.2901) x6
Y (0.0000, 0.0000, 0.1913) x6
In (0.0000, 0.0000, 0.0000) x3

Total energy (eV/atom): -4.96
Formation energy (kcal/mol of atoms): -1.8
N(E_F) (states/eV/atom): 1.596

Entry 11:
A plane-wave DFT calculation with PBE was carried out for a relaxed La2PmHo9 crystal.

a b c (Å): 5.057 5.057 15.167
angles (deg): 90.00 90.00 90.00
Space group P4/mmm (No. 123)
Asymmetric unit:
La (0.000, 0.000, 0.166) x2
Pm (0.000, 0.000, 0.500) x1
Ho (0.000, 0.500, 0.000) x2
Ho (0.000, 0.500, 0.336) x4
Ho (0.500, 0.500, 0.168) x2
Ho (0.500, 0.500, 0.500) x1

Total energy (eV/atom): -4.62
Formation energy (kcal/mol of atoms): 0.7
N(E_F) (states/eV/atom): 1.532
Energy above the lowest structure with this stoichiometry (meV/atom): 0

Entry 12:
A plane-wave DFT calculation with PBE was carried out for a relaxed Sm3InAs2Rh9 crystal.

a b c (Å): 7.0619 7.0619 7.1047
angles (deg): 90.00 90.00 120.00
Space group P-3m1 (No. 164)
Asymmetric unit:
Sm (0.0000, 0.0000, 0.0000) x1
Sm (0.3333, 0.6667, 0.6832) x2
In (0.0000, 0.0000, 0.5000) x1
As (0.3333, 0.6667, 0.1480) x2
Rh (0.0000, 0.5000, 0.0000) x3
Rh (0.1927, 0.3855, 0.3675) x6

Total energy (eV/atom): -6.41
Formation energy (kcal/mol of atoms): -5.8
N(E_F) (states/eV/atom): 0.469